Here is a geometry-optimized AcSb2S4 structure from Alexandria via LeMat-Bulk. Energies are from GGA-PBE.

Computed properties:
* excess energy over the best structure of this formula in the dataset: 0 meV/atom
* symmetry: Cmcm (63)
* ΔE_f (raw): -0.82 eV per atom

a b c (Å): 6.6745 6.6745 13.2301
angles (deg): 90.00 90.00 142.02
Fractional positions:
Ac (0.1202, 0.8798, 0.7500)
Ac (0.8798, 0.1202, 0.2500)
Sb (0.3747, 0.6253, 0.5568)
Sb (0.3747, 0.6253, 0.9432)
Sb (0.6253, 0.3747, 0.0568)
Sb (0.6253, 0.3747, 0.4432)
S (0.0000, 0.0000, 0.0000)
S (0.0000, 0.0000, 0.5000)
S (0.2705, 0.7295, 0.1164)
S (0.2705, 0.7295, 0.3836)
S (0.4627, 0.5373, 0.7500)
S (0.5373, 0.4627, 0.2500)
S (0.7295, 0.2705, 0.6164)
S (0.7295, 0.2705, 0.8836)

Here is a geometry-optimized Ac2SbS5 structure from Alexandria via LeMat-Bulk. Energies are from GGA-PBE.

Computed properties:
* excess energy over the best structure of this formula in the dataset: 171 meV/atom
* symmetry: Cmcm (63)
* ΔE_f (raw): -1.28 eV per atom

a b c (Å): 7.8312 7.8312 13.5980
angles (deg): 90.00 90.00 139.35
Fractional positions:
Ac (0.1482, 0.8518, 0.5705)
Ac (0.1482, 0.8518, 0.9295)
Ac (0.8518, 0.1482, 0.0705)
Ac (0.8518, 0.1482, 0.4295)
Sb (0.1647, 0.8353, 0.2500)
Sb (0.8353, 0.1647, 0.7500)
S (0.0468, 0.9532, 0.1167)
S (0.0468, 0.9532, 0.3833)
S (0.2846, 0.7154, 0.7500)
S (0.2866, 0.7134, 0.0929)
S (0.2866, 0.7134, 0.4071)
S (0.7134, 0.2866, 0.5929)
S (0.7134, 0.2866, 0.9071)
S (0.7154, 0.2846, 0.2500)
S (0.9532, 0.0468, 0.6167)
S (0.9532, 0.0468, 0.8833)

Here is a geometry-optimized Ac2SbS6 structure from Alexandria via LeMat-Bulk. Energies are from GGA-PBE.

Computed properties:
* symmetry: P2_1/c (14)
* ΔE_f (raw): -1.17 eV per atom

a b c (Å): 6.0104 7.8849 11.2768
angles (deg): 90.00 120.83 90.00
Fractional positions:
Ac (0.2021, 0.1044, 0.2624)
Ac (0.2021, 0.3956, 0.7624)
Ac (0.7979, 0.6044, 0.2376)
Ac (0.7979, 0.8956, 0.7376)
Sb (0.5000, 0.0000, 0.0000)
Sb (0.5000, 0.5000, 0.5000)
S (0.1129, 0.1682, 0.9641)
S (0.1129, 0.3318, 0.4641)
S (0.2907, 0.7053, 0.9634)
S (0.2907, 0.7947, 0.4634)
S (0.3187, 0.0224, 0.7453)
S (0.3187, 0.4776, 0.2453)
S (0.6813, 0.5224, 0.7547)
S (0.6813, 0.9776, 0.2547)
S (0.7093, 0.2053, 0.5366)
S (0.7093, 0.2947, 0.0366)
S (0.8871, 0.6682, 0.5359)
S (0.8871, 0.8318, 0.0359)

Here is a geometry-optimized Ac2SbS5 structure from Alexandria via LeMat-Bulk. Energies are from GGA-PBE.

Computed properties:
* excess energy over the best structure of this formula in the dataset: 0 meV/atom
* symmetry: Pbam (55)
* ΔE_f (raw): -1.46 eV per atom

a b c (Å): 7.9896 11.7159 4.2273
angles (deg): 90.00 90.00 90.00
Fractional positions:
Ac (0.0750, 0.1693, 0.0000)
Ac (0.4250, 0.6693, 0.0000)
Ac (0.5750, 0.3307, 0.0000)
Ac (0.9250, 0.8307, 0.0000)
Sb (0.0000, 0.5000, 0.5000)
Sb (0.5000, 0.0000, 0.5000)
S (0.0000, 0.0000, 0.5000)
S (0.1438, 0.7049, 0.5000)
S (0.1892, 0.4357, 0.0000)
S (0.3108, 0.9357, 0.0000)
S (0.3562, 0.2049, 0.5000)
S (0.5000, 0.5000, 0.5000)
S (0.6438, 0.7951, 0.5000)
S (0.6892, 0.0643, 0.0000)
S (0.8108, 0.5643, 0.0000)
S (0.8562, 0.2951, 0.5000)

Here is a geometry-optimized Ac3Sb2S structure from Alexandria via LeMat-Bulk. Energies are from GGA-PBE.

Computed properties:
* excess energy over the best structure of this formula in the dataset: 0 meV/atom
* symmetry: C2/c (15)
* ΔE_f (raw): -1.46 eV per atom

a b c (Å): 8.0588 8.0588 8.0525
angles (deg): 99.51 99.51 120.12
Fractional positions:
Ac (0.0000, 0.5000, 0.0000)
Ac (0.1559, 0.3147, 0.4986)
Ac (0.3147, 0.1559, 0.9986)
Ac (0.5000, 0.0000, 0.5000)
Ac (0.6853, 0.8441, 0.0014)
Ac (0.8441, 0.6853, 0.5014)
Sb (0.2542, 0.7458, 0.7500)
Sb (0.4175, 0.5825, 0.2500)
Sb (0.5825, 0.4175, 0.7500)
Sb (0.7458, 0.2542, 0.2500)
S (0.0853, 0.9147, 0.2500)
S (0.9147, 0.0853, 0.7500)

Here is a geometry-optimized Ac3SbS structure from Alexandria via LeMat-Bulk. Energies are from GGA-PBE.

Computed properties:
* symmetry: Pm-3m (221)
* ΔE_f (raw): -0.85 eV per atom

a b c (Å): 5.6759 5.6759 5.6759
angles (deg): 90.00 90.00 90.00
Fractional positions:
Ac (0.0000, 0.0000, 0.5000)
Ac (0.0000, 0.5000, 0.0000)
Ac (0.5000, 0.0000, 0.0000)
Sb (0.5000, 0.5000, 0.5000)
S (0.0000, 0.0000, 0.0000)

Here is a geometry-optimized Ac2SbS structure from Alexandria via LeMat-Bulk. Energies are from GGA-PBE.

Computed properties:
* excess energy over the best structure of this formula in the dataset: 148 meV/atom
* symmetry: Pmmn (59)
* ΔE_f (raw): -1.44 eV per atom

a b c (Å): 4.5425 7.8581 7.7403
angles (deg): 90.00 90.00 90.00
Fractional positions:
Ac (0.2500, 0.0041, 0.2344)
Ac (0.2500, 0.4959, 0.2344)
Ac (0.7500, 0.5041, 0.7656)
Ac (0.7500, 0.9959, 0.7656)
Sb (0.2500, 0.2500, 0.5881)
Sb (0.7500, 0.7500, 0.4119)
S (0.2500, 0.7500, 0.9182)
S (0.7500, 0.2500, 0.0818)

Here is a geometry-optimized Ac2Sb2S7 structure from Alexandria via LeMat-Bulk. Energies are from GGA-PBE.

Computed properties:
* symmetry: C2/m (12)
* ΔE_f (raw): -0.95 eV per atom

a b c (Å): 7.4722 7.4722 6.2511
angles (deg): 97.30 97.30 91.53
Fractional positions:
Ac (0.2244, 0.7756, 0.0000)
Ac (0.7756, 0.2244, 0.0000)
Sb (0.2613, 0.2613, 0.5513)
Sb (0.7387, 0.7387, 0.4487)
S (0.0578, 0.4162, 0.7804)
S (0.0678, 0.0678, 0.2648)
S (0.4162, 0.0578, 0.7804)
S (0.5000, 0.5000, 0.5000)
S (0.5838, 0.9422, 0.2196)
S (0.9322, 0.9322, 0.7352)
S (0.9422, 0.5838, 0.2196)

Here is a geometry-optimized Ac2SbS structure from Alexandria via LeMat-Bulk. Energies are from GGA-PBE.

Computed properties:
* excess energy over the best structure of this formula in the dataset: 0 meV/atom
* symmetry: R-3m (166)
* ΔE_f (raw): -1.59 eV per atom

a b c (Å): 7.8429 7.8429 7.8429
angles (deg): 33.96 33.96 33.96
Fractional positions:
Ac (0.2436, 0.2436, 0.2436)
Ac (0.7564, 0.7564, 0.7564)
Sb (0.0000, 0.0000, 0.0000)
S (0.5000, 0.5000, 0.5000)

Here is a geometry-optimized Ac4Sb3S structure from Alexandria via LeMat-Bulk. Energies are from GGA-PBE.

Computed properties:
* symmetry: P2/c (13)
* ΔE_f (raw): -1.40 eV per atom

a b c (Å): 8.1094 9.3956 8.1284
angles (deg): 90.00 109.52 90.00
Fractional positions:
Ac (0.2405, 0.1197, 0.0014)
Ac (0.2405, 0.8803, 0.5014)
Ac (0.2467, 0.3701, 0.4945)
Ac (0.2467, 0.6299, 0.9945)
Ac (0.7533, 0.3701, 0.0055)
Ac (0.7533, 0.6299, 0.5055)
Ac (0.7595, 0.1197, 0.4986)
Ac (0.7595, 0.8803, 0.9986)
Sb (0.0000, 0.3728, 0.7500)
Sb (0.0000, 0.6272, 0.2500)
Sb (0.5000, 0.1237, 0.7500)
Sb (0.5000, 0.3730, 0.2500)
Sb (0.5000, 0.6270, 0.7500)
Sb (0.5000, 0.8763, 0.2500)
S (0.0000, 0.1212, 0.2500)
S (0.0000, 0.8788, 0.7500)

Here is a geometry-optimized Ac5Sb2S4 structure from Alexandria via LeMat-Bulk. Energies are from GGA-PBE.

Computed properties:
* symmetry: R-3m (166)
* ΔE_f (raw): -1.67 eV per atom

a b c (Å): 19.8895 19.8895 19.8895
angles (deg): 14.06 14.06 14.06
Fractional positions:
Ac (0.0000, 0.0000, 0.0000)
Ac (0.1364, 0.1364, 0.1364)
Ac (0.2682, 0.2682, 0.2682)
Ac (0.7318, 0.7318, 0.7318)
Ac (0.8636, 0.8636, 0.8636)
Sb (0.3662, 0.3662, 0.3662)
Sb (0.6338, 0.6338, 0.6338)
S (0.0875, 0.0875, 0.0875)
S (0.1887, 0.1887, 0.1887)
S (0.8113, 0.8113, 0.8113)
S (0.9125, 0.9125, 0.9125)

Here is a geometry-optimized Ac2SbS structure from Alexandria via LeMat-Bulk. Energies are from GGA-PBE.

Computed properties:
* excess energy over the best structure of this formula in the dataset: 151 meV/atom
* symmetry: R3m (160)
* ΔE_f (raw): -1.43 eV per atom

a b c (Å): 8.4064 8.4064 8.4064
angles (deg): 30.67 30.67 30.67
Fractional positions:
Ac (0.0000, 0.0000, 0.0000)
Ac (0.1643, 0.1643, 0.1643)
Sb (0.5827, 0.5827, 0.5827)
S (0.4131, 0.4131, 0.4131)

Here is a geometry-optimized Ac6Sb3S14 structure from Alexandria via LeMat-Bulk. Energies are from GGA-PBE.

Computed properties:
* symmetry: P3 (143)
* ΔE_f (raw): -1.46 eV per atom

a b c (Å): 10.3050 10.3050 7.0523
angles (deg): 90.00 90.00 120.00
Fractional positions:
Ac (0.0350, 0.5012, 0.0000)
Ac (0.2935, 0.1632, 0.4613)
Ac (0.4662, 0.9650, 0.0000)
Ac (0.4988, 0.5338, 0.0000)
Ac (0.8368, 0.1303, 0.4613)
Ac (0.8697, 0.7065, 0.4613)
Sb (0.0000, 0.0000, 0.0313)
Sb (0.3333, 0.6667, 0.5664)
Sb (0.6667, 0.3333, 0.6661)
S (0.0000, 0.0000, 0.6273)
S (0.1141, 0.2520, 0.2023)
S (0.1379, 0.8859, 0.2023)
S (0.1997, 0.7772, 0.7323)
S (0.2228, 0.4225, 0.7323)
S (0.3333, 0.6667, 0.1801)
S (0.4185, 0.2179, 0.8674)
S (0.5261, 0.0723, 0.3996)
S (0.5462, 0.4739, 0.3996)
S (0.5775, 0.8003, 0.7323)
S (0.7480, 0.8621, 0.2023)
S (0.7821, 0.2006, 0.8674)
S (0.7994, 0.5815, 0.8674)
S (0.9277, 0.4538, 0.3996)

Here is a geometry-optimized Ac2SbS structure from Alexandria via LeMat-Bulk. Energies are from GGA-PBE.

Computed properties:
* excess energy over the best structure of this formula in the dataset: 281 meV/atom
* symmetry: Fm-3m (225)
* ΔE_f (raw): -1.30 eV per atom

a b c (Å): 5.5577 5.5577 5.5577
angles (deg): 60.00 60.00 60.00
Fractional positions:
Ac (0.2500, 0.2500, 0.2500)
Ac (0.7500, 0.7500, 0.7500)
Sb (0.0000, 0.0000, 0.0000)
S (0.5000, 0.5000, 0.5000)

Here is a geometry-optimized Ac4Sb2SeS structure from Alexandria via LeMat-Bulk. Energies are from GGA-PBE.

Computed properties:
* symmetry: Imma (74)
* ΔE_f (raw): -1.57 eV per atom

a b c (Å): 9.2029 9.2029 9.2029
angles (deg): 120.01 119.99 90.00
Fractional positions:
Ac (0.2567, 0.2499, 0.4932)
Ac (0.2567, 0.7635, 0.0068)
Ac (0.2597, 0.2467, 0.0130)
Ac (0.2663, 0.7533, 0.5130)
Ac (0.7337, 0.2467, 0.4870)
Ac (0.7403, 0.7533, 0.9870)
Ac (0.7433, 0.2365, 0.9932)
Ac (0.7433, 0.7501, 0.5068)
Sb (0.0000, 0.0000, 0.5000)
Sb (0.0000, 0.5000, 0.0000)
Sb (0.0000, 0.5000, 0.5000)
Sb (0.5000, 0.5000, 0.0000)
Se (0.0000, 0.0000, 0.0000)
Se (0.5000, 0.0000, 0.5000)
S (0.5000, 0.0000, 0.0000)
S (0.5000, 0.5000, 0.5000)

Here is a geometry-optimized Ac6Sb3SeS2 structure from Alexandria via LeMat-Bulk. Energies are from GGA-PBE.

Computed properties:
* symmetry: C2/m (12)
* ΔE_f (raw): -1.58 eV per atom

a b c (Å): 7.9867 7.9867 7.8744
angles (deg): 99.74 99.74 119.94
Fractional positions:
Ac (0.0830, 0.4218, 0.7651)
Ac (0.2387, 0.2387, 0.2327)
Ac (0.4218, 0.0830, 0.7651)
Ac (0.5782, 0.9170, 0.2349)
Ac (0.7613, 0.7613, 0.7673)
Ac (0.9170, 0.5782, 0.2349)
Sb (0.0000, 0.0000, 0.5000)
Sb (0.3356, 0.6644, 0.5000)
Sb (0.6644, 0.3356, 0.5000)
Se (0.5000, 0.5000, 0.0000)
S (0.1670, 0.8330, 0.0000)
S (0.8330, 0.1670, 0.0000)

Here is a geometry-optimized Ac6Sb2SeS3 structure from Alexandria via LeMat-Bulk. Energies are from GGA-PBE.

Computed properties:
* symmetry: C2/m (12)
* ΔE_f (raw): -1.70 eV per atom

a b c (Å): 10.0718 10.0718 9.0068
angles (deg): 103.02 103.02 25.87
Fractional positions:
Ac (0.0059, 0.0059, 0.2434)
Ac (0.3311, 0.3311, 0.4307)
Ac (0.3381, 0.3381, 0.9035)
Ac (0.6619, 0.6619, 0.0965)
Ac (0.6689, 0.6689, 0.5693)
Ac (0.9941, 0.9941, 0.7566)
Sb (0.1651, 0.1651, 0.8315)
Sb (0.8349, 0.8349, 0.1685)
Se (0.5000, 0.5000, 0.5000)
S (0.1685, 0.1685, 0.3366)
S (0.5000, 0.5000, 0.0000)
S (0.8315, 0.8315, 0.6634)

Here is a geometry-optimized Ac4SbSe2S structure from Alexandria via LeMat-Bulk. Energies are from GGA-PBE.

Computed properties:
* symmetry: Imma (74)
* ΔE_f (raw): -1.72 eV per atom

a b c (Å): 9.0430 9.0430 9.0430
angles (deg): 120.26 119.73 90.01
Fractional positions:
Ac (0.2562, 0.2456, 0.0106)
Ac (0.2558, 0.2462, 0.4904)
Ac (0.2558, 0.7654, 0.0096)
Ac (0.2649, 0.7544, 0.5106)
Ac (0.7351, 0.2456, 0.4894)
Ac (0.7442, 0.2346, 0.9904)
Ac (0.7442, 0.7538, 0.5096)
Ac (0.7438, 0.7544, 0.9894)
Sb (0.0000, 0.5000, 0.5000)
Sb (0.5000, 0.5000, 0.0000)
Se (0.0000, 0.0000, 0.0000)
Se (0.0000, 0.0000, 0.5000)
Se (0.0000, 0.5000, 0.0000)
Se (0.5000, 0.0000, 0.5000)
S (0.5000, 0.0000, 0.0000)
S (0.5000, 0.5000, 0.5000)

Here is a geometry-optimized Ac6Si2SbS3 structure from Alexandria via LeMat-Bulk. Energies are from GGA-PBE.

Computed properties:
* symmetry: C2/m (12)
* ΔE_f (raw): -1.39 eV per atom

a b c (Å): 10.0286 10.0286 8.9778
angles (deg): 101.51 101.51 26.16
Fractional positions:
Ac (0.0021, 0.0021, 0.2636)
Ac (0.3283, 0.3283, 0.9073)
Ac (0.3314, 0.3314, 0.4182)
Ac (0.6686, 0.6686, 0.5818)
Ac (0.6717, 0.6717, 0.0927)
Ac (0.9979, 0.9979, 0.7364)
Si (0.1662, 0.1662, 0.3340)
Si (0.8338, 0.8338, 0.6660)
Sb (0.5000, 0.5000, 0.0000)
S (0.1654, 0.1654, 0.8343)
S (0.5000, 0.5000, 0.5000)
S (0.8346, 0.8346, 0.1657)

Here is a geometry-optimized Ac4SiSbS2 structure from Alexandria via LeMat-Bulk. Energies are from GGA-PBE.

Computed properties:
* symmetry: P2/m (10)
* ΔE_f (raw): -1.44 eV per atom

a b c (Å): 7.7236 4.5484 7.9283
angles (deg): 90.00 109.83 90.00
Fractional positions:
Ac (0.2421, 0.0000, 0.2359)
Ac (0.2481, 0.5000, 0.7586)
Ac (0.7519, 0.5000, 0.2414)
Ac (0.7579, 0.0000, 0.7641)
Si (0.5000, 0.0000, 0.0000)
Sb (0.5000, 0.5000, 0.5000)
S (0.0000, 0.0000, 0.5000)
S (0.0000, 0.5000, 0.0000)

What are the uncorrected energy values for these records? In order: -69.2; -86.5; -95.3; -89.2; -66.9; -24.8; -44.4; -55.8; -22.8; -88.2; -63.7; -22.2; -128.5; -21.7; -89.7; -67.7; -69.2; -90.8; -68.7; -45.8 eV for the cell shown.